# P2HWO

A geometry-optimized P2HWO structure (PBE+U, Alexandria).

Calculated values
ΔE to the lowest computed polymorph: 0 meV per atom
size of the total moment: 0.431 μB per atom

Lattice parameters (Å, degrees): 3.3935 3.3935 4.9813 90.00 90.00 90.00
Space group P4/mmm (No. 123)
Inequivalent atoms, fractional coordinates:
1 P 0.0000 0.5000 0.0000 [2 per cell]
2 H 0.0000 0.0000 0.0000 [1 per cell]
3 W 0.5000 0.5000 0.5000 [1 per cell]
4 O 0.0000 0.0000 0.5000 [1 per cell]